[1]
A plane-wave DFT calculation with meta-GGA SCAN was carried out for a crystal of NaLaY3 relaxed with PBEsol.

Cell and atoms, written as extended XYZ:
```
5
Lattice="5.671 0.000 0.000 0.000 5.671 0.000 0.000 0.000 5.671" Properties=species:S:1:pos:R:3 pbc="T T T"
Na 0.000 0.000 0.000
La 2.835 2.835 2.835
Y 0.000 2.835 2.835
Y 2.835 0.000 2.835
Y 2.835 2.835 0.000
```

Results
Calculated total energy = -127.33 eV for the cell shown
Fermi-level density of states = 5.4 states/eV/cell
Space-group type = Pm-3m (221)
ΔE_f = 0.705 eV per atom
Magnetic moment = 0.001 μB per atom

[2]
A plane-wave DFT calculation with meta-GGA SCAN was carried out for a crystal of Na2LaZn2 relaxed with PBEsol.

Cell and atoms, written as extended XYZ:
```
5
Lattice="-2.102 2.102 7.055 2.102 -2.102 7.055 2.102 2.102 -7.055" Properties=species:S:1:pos:R:3 pbc="T T T"
Na 2.102 0.000 3.528
Na 0.000 2.102 3.528
La 0.000 0.000 0.000
Zn 0.000 0.000 5.772
Zn 0.000 0.000 8.338
```

Results
Calculated total energy = -78.80 eV for the cell shown
Fermi-level density of states = 3.5 states/eV/cell
Space-group type = I4/mmm (139)
ΔE_f = -0.046 eV per atom
Magnetic moment = 0.050 μB per atom

[3]
A plane-wave DFT calculation with meta-GGA SCAN was carried out for a crystal of LaNb2NiRh relaxed with PBEsol.

Cell and atoms, written as extended XYZ:
```
5
Lattice="4.847 0.000 0.000 0.000 4.847 0.000 0.000 0.000 4.636" Properties=species:S:1:pos:R:3 pbc="T T T"
La 0.000 0.000 0.000
Nb 0.000 2.423 0.000
Nb 2.423 0.000 0.000
Ni 2.423 2.423 2.318
Rh 0.000 0.000 2.318
```

Results
Calculated total energy = -149.26 eV for the cell shown
Fermi-level density of states = 5.1 states/eV/cell
Space-group type = P4/mmm (123)
ΔE_f = 2.009 eV per atom
Magnetic moment = 0.451 μB per atom

[4]
A plane-wave DFT calculation with meta-GGA SCAN was carried out for a crystal of La3NbO7 relaxed with PBEsol.

Cell and atoms, written as extended XYZ:
```
22
Lattice="5.556 -3.745 0.000 5.556 3.745 0.000 0.000 0.000 7.765" Properties=species:S:1:pos:R:3 pbc="T T T"
La 0.000 0.000 0.000
La 0.000 0.000 3.882
La 3.048 1.496 5.824
La 3.048 -1.496 1.941
La 8.064 1.496 5.824
La 8.064 -1.496 1.941
Nb 5.556 0.000 0.000
Nb 5.556 0.000 3.882
O 1.441 0.192 1.941
O 1.441 -0.192 5.824
O 4.158 1.414 0.270
O 4.158 1.414 3.612
O 5.556 0.512 5.824
O 6.954 1.414 0.270
O 6.954 1.414 3.612
O 4.158 -1.414 4.153
O 4.158 -1.414 7.494
O 5.556 -0.512 1.941
O 6.954 -1.414 4.153
O 6.954 -1.414 7.494
O 9.671 0.192 1.941
O 9.671 -0.192 5.824
```

Results
Calculated total energy = -490.61 eV for the cell shown
Fermi-level density of states = 0.0 states/eV/cell
Space-group type = Cmcm (63)
Magnetic moment = 0.000 μB per atom
Formation energy without anion corrections = -39.24 eV/f.u.

[5]
A plane-wave DFT calculation with meta-GGA SCAN was carried out for a crystal of LaNb3O relaxed with PBEsol.

Cell and atoms, written as extended XYZ:
```
5
Lattice="4.818 0.000 0.000 0.000 4.818 0.000 0.000 0.000 4.818" Properties=species:S:1:pos:R:3 pbc="T T T"
La 0.000 0.000 0.000
Nb 0.000 0.000 2.409
Nb 0.000 2.409 0.000
Nb 2.409 0.000 0.000
O 2.409 2.409 2.409
```

Results
Calculated total energy = -136.86 eV for the cell shown
Fermi-level density of states = 2.7 states/eV/cell
Space-group type = Pm-3m (221)
Magnetic moment = 0.294 μB per atom
Formation energy without anion corrections = 11.87 eV/f.u.

[6]
A plane-wave DFT calculation with meta-GGA SCAN was carried out for a crystal of La3NbO7 relaxed with PBEsol.

Cell and atoms, written as extended XYZ:
```
44
Lattice="7.731 0.000 0.000 0.000 11.091 0.000 0.000 0.000 7.623" Properties=species:S:1:pos:R:3 pbc="T T T"
La 0.064 2.773 1.680
La 1.924 5.815 0.373
La 1.924 10.822 0.373
La 1.941 0.269 4.184
La 1.941 5.276 4.184
La 3.802 8.318 5.491
La 3.929 2.773 2.132
La 5.790 5.815 3.439
La 5.790 10.822 3.439
La 5.807 0.269 7.250
La 5.807 5.276 7.250
La 7.668 8.318 5.943
Nb 0.043 2.773 5.713
Nb 3.822 8.318 1.901
Nb 3.909 2.773 5.722
Nb 7.688 8.318 1.910
O 0.268 1.421 7.253
O 0.268 4.125 7.253
O 0.320 6.834 3.133
O 0.320 9.802 3.133
O 1.899 6.865 5.904
O 1.899 9.771 5.904
O 1.910 2.773 5.150
O 1.956 8.318 1.339
O 1.966 1.320 2.093
O 1.966 4.226 2.093
O 3.545 1.289 6.944
O 3.545 4.257 6.944
O 3.598 6.966 3.441
O 3.598 9.671 3.441
O 4.133 1.421 4.182
O 4.133 4.125 4.182
O 4.186 6.834 0.678
O 4.186 9.802 0.678
O 5.765 6.865 5.530
O 5.765 9.771 5.530
O 5.775 2.773 6.284
O 5.822 8.318 2.473
O 5.832 1.320 1.719
O 5.832 4.226 1.719
O 7.411 1.289 4.490
O 7.411 4.257 4.490
O 7.464 6.966 0.370
O 7.464 9.671 0.370
```

Results
Calculated total energy = -981.36 eV for the cell shown
Fermi-level density of states = 0.0 states/eV/cell
Space-group type = Pnma (62)
Magnetic moment = 0.000 μB per atom
Formation energy without anion corrections = -39.28 eV/f.u.